A plane-wave DFT calculation with PBE was carried out for Nd3Ge3Au2 after structural relaxation. Values from VASP.

As for the total magnetic moment: 0.67 μB/f.u. The symmetry is Cmcm.

Quantum ESPRESSO input file:
```
&SYSTEM
  ibrav = 0, nat = 16, ntyp = 3
/
ATOMIC_SPECIES
Nd 144.24 Nd.upf
Ge 72.64 Ge.upf
Au 196.97 Au.upf
ATOMIC_POSITIONS crystal
Nd 0.915 0.831 0.387
Nd 0.085 0.169 0.887
Nd 0.915 0.831 0.113
Nd 0.085 0.169 0.613
Nd 0.637 0.275 0.250
Nd 0.363 0.725 0.750
Ge 0.606 0.212 0.459
Ge 0.394 0.788 0.959
Ge 0.606 0.212 0.041
Ge 0.394 0.788 0.541
Ge 0.349 0.699 0.250
Ge 0.651 0.301 0.750
Au 0.791 0.582 0.903
Au 0.209 0.418 0.403
Au 0.791 0.582 0.597
Au 0.209 0.418 0.097
CELL_PARAMETERS angstrom
4.475 0.000 0.000
-2.238 5.538 0.000
0.000 0.000 14.873
```

A plane-wave DFT calculation with PBE was carried out for LiPr2ZnO5 after structural relaxation. Values from VASP.

As for the total magnetic moment: 1.00 μB/f.u. The symmetry is P4/mbm.

Quantum ESPRESSO input file:
```
&SYSTEM
  ibrav = 0, nat = 18, ntyp = 4
/
ATOMIC_SPECIES
Li 6.94 Li.upf
Pr 140.91 Pr.upf
Zn 65.41 Zn.upf
O 16.00 O.upf
ATOMIC_POSITIONS crystal
Li 0.000 0.500 0.500
Li 0.000 0.000 0.000
Pr 0.500 0.675 0.175
Pr 0.500 0.175 0.325
Pr 0.500 0.825 0.675
Pr 0.500 0.325 0.825
Zn 0.000 0.000 0.500
Zn 0.000 0.500 0.000
O 0.500 0.500 0.500
O 0.500 0.000 0.000
O 0.244 0.135 0.635
O 0.244 0.865 0.365
O 0.244 0.365 0.135
O 0.244 0.635 0.865
O 0.756 0.135 0.635
O 0.756 0.635 0.865
O 0.756 0.865 0.365
O 0.756 0.365 0.135
CELL_PARAMETERS angstrom
-2.087 4.981 2.136
-5.840 -1.021 -3.326
-2.477 -3.344 5.376
```

A plane-wave DFT calculation with PBE was carried out for Ce5O9 after structural relaxation. Values from VASP.

As for the total magnetic moment: 2.22 μB/f.u. The symmetry is I-4.

Quantum ESPRESSO input file:
```
&SYSTEM
  ibrav = 0, nat = 14, ntyp = 2
/
ATOMIC_SPECIES
Ce 140.12 Ce.upf
O 16.00 O.upf
ATOMIC_POSITIONS crystal
Ce 0.562 0.885 0.899
Ce 0.336 0.438 0.323
Ce 0.987 0.664 0.101
Ce 0.115 0.013 0.677
Ce 0.750 0.250 0.500
O 0.000 0.000 0.000
O 0.914 0.314 0.222
O 0.686 0.908 0.600
O 0.308 0.086 0.400
O 0.403 0.765 0.172
O 0.235 0.406 0.637
O 0.769 0.597 0.363
O 0.092 0.692 0.778
O 0.594 0.231 0.828
CELL_PARAMETERS angstrom
6.750 -0.001 0.000
-4.447 5.078 0.000
-1.152 -2.539 6.147
```

A plane-wave DFT calculation with PBE was carried out for NaTl4Cd5 after structural relaxation. Values from VASP.

As for the total magnetic moment: 0.00 μB/f.u. The symmetry is Pmmn.

Quantum ESPRESSO input file:
```
&SYSTEM
  ibrav = 0, nat = 20, ntyp = 3
/
ATOMIC_SPECIES
Na 22.99 Na.upf
Tl 204.38 Tl.upf
Cd 112.41 Cd.upf
ATOMIC_POSITIONS crystal
Na 0.000 0.000 0.825
Na 0.500 0.500 0.175
Tl 0.000 0.697 0.005
Tl 0.758 0.000 0.520
Tl 0.242 0.000 0.520
Tl 0.000 0.303 0.005
Tl 0.500 0.197 0.995
Tl 0.742 0.500 0.480
Tl 0.258 0.500 0.480
Tl 0.500 0.803 0.995
Cd 0.748 0.821 0.264
Cd 0.252 0.821 0.264
Cd 0.500 0.000 0.756
Cd 0.748 0.179 0.264
Cd 0.252 0.179 0.264
Cd 0.752 0.321 0.736
Cd 0.248 0.321 0.736
Cd 0.000 0.500 0.244
Cd 0.248 0.679 0.736
Cd 0.752 0.679 0.736
CELL_PARAMETERS angstrom
6.366 0.000 0.000
0.000 8.197 0.000
0.000 0.000 11.052
```

A plane-wave DFT calculation with PBE was carried out for GaHgI4Br after structural relaxation. Values from VASP.

As for the total magnetic moment: 0.00 μB/f.u. The symmetry is C2/m.

Quantum ESPRESSO input file:
```
&SYSTEM
  ibrav = 0, nat = 14, ntyp = 4
/
ATOMIC_SPECIES
Ga 69.72 Ga.upf
Hg 200.59 Hg.upf
I 126.90 I.upf
Br 79.90 Br.upf
ATOMIC_POSITIONS crystal
Ga 0.610 0.610 0.741
Ga 0.390 0.390 0.259
Hg 0.106 0.106 0.863
Hg 0.894 0.894 0.137
I 0.391 0.391 0.432
I 0.609 0.609 0.568
I 0.025 0.500 0.248
I 0.571 0.571 0.105
I 0.500 0.975 0.752
I 0.500 0.025 0.248
I 0.429 0.429 0.895
I 0.975 0.500 0.752
Br 0.106 0.106 0.058
Br 0.894 0.894 0.942
CELL_PARAMETERS angstrom
7.980 0.519 0.997
3.134 7.358 0.997
3.534 2.505 13.832
```

A plane-wave DFT calculation with PBE was carried out for CsUTeO6 after structural relaxation. Values from VASP.

As for the total magnetic moment: 0.00 μB/f.u. The symmetry is Imma.

Quantum ESPRESSO input file:
```
&SYSTEM
  ibrav = 0, nat = 18, ntyp = 4
/
ATOMIC_SPECIES
Cs 132.91 Cs.upf
U 238.03 U.upf
Te 127.60 Te.upf
O 16.00 O.upf
ATOMIC_POSITIONS crystal
Cs 0.861 0.611 0.723
Cs 0.139 0.389 0.277
U 0.500 0.000 0.500
U 0.000 0.000 0.500
Te 0.500 0.500 0.000
Te 0.500 0.000 0.000
O 0.441 0.691 0.882
O 0.818 0.068 0.636
O 0.810 0.074 0.256
O 0.446 0.683 0.256
O 0.446 0.074 0.256
O 0.810 0.683 0.256
O 0.559 0.309 0.118
O 0.182 0.932 0.364
O 0.190 0.926 0.744
O 0.554 0.317 0.744
O 0.554 0.926 0.744
O 0.190 0.317 0.744
CELL_PARAMETERS angstrom
7.970 0.000 0.000
0.000 7.639 0.000
-3.985 -3.820 5.483
```

Number 1: E -82.08 eV/cell. Number 2: E -114.39 eV/cell. Number 3: E -122.92 eV/cell. Number 4: E -29.42 eV/cell. Number 5: E -28.27 eV/cell. Number 6: E -128.48 eV/cell.